[1]
# Pm2Ge3Ir4Au (PBE, optimized geometry)
# Theoretical density in kg/m3: 12870
# SG: P-4m2 (115)
# ΔH_f (0 K) in eV/atom: -0.632
# Raw total energy in eV per atom: -6.840
# DOS(E_F) in states/eV per cell: 4.30
data_Pm2Ge3Ir4Au
_cell_length_a 4.2176
_cell_length_b 4.2176
_cell_length_c 10.6895
_cell_angle_alpha 90.00
_cell_angle_beta 90.00
_cell_angle_gamma 90.00
_symmetry_space_group_name_H-M 'P 1'
_symmetry_Int_Tables_number 1
_symmetry_space_group_name_Hall 'P 1'
loop_
_atom_site_label
_atom_site_type_symbol
_atom_site_fract_x
_atom_site_fract_y
_atom_site_fract_z
_atom_site_occupancy
Pm1 Pm 0.5000 0.0000 0.2483 1
Pm2 Pm 0.0000 0.5000 0.7517 1
Ge1 Ge 0.0000 0.0000 0.5000 1
Ir1 Ir 0.5000 0.0000 0.6487 1
Ir2 Ir 0.0000 0.5000 0.3513 1
Ir3 Ir 0.0000 0.0000 0.0000 1
Au1 Au 0.5000 0.5000 0.5000 1
Ir4 Ir 0.5000 0.5000 0.0000 1
Ge2 Ge 0.0000 0.5000 0.1256 1
Ge3 Ge 0.5000 0.0000 0.8744 1

[2]
# CsTaAs (PBE, optimized geometry)
# Theoretical density in kg/m3: 5994
# SG: P4/nmm (129)
# ΔH_f (0 K) in eV/atom: -0.298
# Raw total energy in eV per atom: -6.083
# DOS(E_F) in states/eV per cell: 5.33
data_CsTaAs
_cell_length_a 4.1093
_cell_length_b 4.1093
_cell_length_c 12.7562
_cell_angle_alpha 90.00
_cell_angle_beta 90.00
_cell_angle_gamma 90.00
_symmetry_space_group_name_H-M 'P 1'
_symmetry_Int_Tables_number 1
_symmetry_space_group_name_Hall 'P 1'
loop_
_atom_site_label
_atom_site_type_symbol
_atom_site_fract_x
_atom_site_fract_y
_atom_site_fract_z
_atom_site_occupancy
Cs1 Cs 0.5000 0.0000 0.7085 1
Ta1 Ta 0.0000 0.0000 0.0000 1
Cs2 Cs 0.0000 0.5000 0.2915 1
As1 As 0.5000 0.0000 0.1346 1
As2 As 0.0000 0.5000 0.8654 1
Ta2 Ta 0.5000 0.5000 0.0000 1

[3]
# RbTb4ErSe8 (PBE, optimized geometry)
# Theoretical density in kg/m3: 5509
# SG: R3m (160)
# Raw total energy in eV per atom: -5.431
# Raw formation energy in meV/atom: -1722.1
# DOS(E_F) in states/eV per cell: 0.00
data_RbTb4ErSe8
_cell_length_a 8.6806
_cell_length_b 8.6806
_cell_length_c 8.6261
_cell_angle_alpha 59.79
_cell_angle_beta 59.79
_cell_angle_gamma 60.00
_symmetry_space_group_name_H-M 'P 1'
_symmetry_Int_Tables_number 1
_symmetry_space_group_name_Hall 'P 1'
loop_
_atom_site_label
_atom_site_type_symbol
_atom_site_fract_x
_atom_site_fract_y
_atom_site_fract_z
_atom_site_occupancy
Se1 Se 0.7586 0.7586 0.2558 1
Se2 Se 0.2331 0.2331 0.3008 1
Se3 Se 0.2297 0.8043 0.7363 1
Tb1 Tb 0.4853 0.0050 0.5047 1
Se4 Se 0.7574 0.7574 0.7279 1
Tb2 Tb 0.0050 0.4853 0.5047 1
Tb3 Tb 0.0050 0.0050 0.5047 1
Se5 Se 0.2297 0.2297 0.7363 1
Se6 Se 0.8043 0.2297 0.7363 1
Tb4 Tb 0.6247 0.6247 0.1260 1
Er1 Er 0.0044 0.0044 0.9869 1
Se7 Se 0.2271 0.7586 0.2558 1
Rb1 Rb 0.3773 0.3773 0.8682 1
Se8 Se 0.7586 0.2271 0.2558 1

[4]
# ErZnIn (PBE, optimized geometry)
# Theoretical density in kg/m3: 8096
# SG: F-43m (216)
# ΔH_f (0 K) in eV/atom: -0.366
# Raw total energy in eV per atom: -3.225
# DOS(E_F) in states/eV per cell: 0.80
data_ErZnIn
_cell_length_a 4.6538
_cell_length_b 4.6538
_cell_length_c 4.6538
_cell_angle_alpha 60.00
_cell_angle_beta 60.00
_cell_angle_gamma 60.00
_symmetry_space_group_name_H-M 'P 1'
_symmetry_Int_Tables_number 1
_symmetry_space_group_name_Hall 'P 1'
loop_
_atom_site_label
_atom_site_type_symbol
_atom_site_fract_x
_atom_site_fract_y
_atom_site_fract_z
_atom_site_occupancy
Zn1 Zn 0.2500 0.2500 0.2500 1
In1 In 0.0000 0.0000 0.0000 1
Er1 Er 0.5000 0.5000 0.5000 1

Which formula does entry 1 have?
Pm2Ge3Ir4Au

The highest raw total energy belongs to which entry?
ErZnIn

Look up the DOS(E_F) of the third one.
0.00 states/eV per cell